The following is a DFT calculation (PBE+U) of crystalline NdW2O8 at its relaxed geometry.

Cell lengths 4.863, 4.863, 6.717 Å; angles 111.23, 111.23, 90.00 degrees
Positions (direct):
Nd (0.500, 0.500, 0.000)
W (0.750, 0.250, 0.500)
W (0.250, 0.750, 0.500)
O (0.898, 0.399, 0.298)
O (0.102, 0.601, 0.702)
O (0.601, 0.102, 0.702)
O (0.102, 0.102, 0.702)
O (0.399, 0.898, 0.298)
O (0.898, 0.898, 0.298)
O (0.399, 0.399, 0.298)
O (0.601, 0.601, 0.702)

## Properties
- Theoretical density: 7.8 g/cm3
- E_tot: -7.127 eV/atom
- Symmetry: I4/mmm (139)